[1]
This record from the Alexandria database describes a relaxed Mn3W crystal. The functional is PBE.

- space group = No. 65
- raw total energy (eV/atom) = -9.978
- formation energy (eV per atom) = 0.137

a = 2.6242 Å, b = 2.6242 Å, c = 7.3864 Å
α = 90.00°, β = 90.00°, γ = 90.56°
With the nearest neighbours (Å) after each atom.
Element x y z (fractional)
Mn: 0.0000 0.0000 0.9730  8 Mn 2.47-2.62, 4 W 2.76-2.77
Mn: 0.0000 0.0000 0.5270  8 Mn 2.47-2.62, 4 W 2.76-2.77
Mn: 0.5000 0.5000 0.7500  12 Mn 2.47-2.62
W: 0.5000 0.5000 0.2500  4 W 2.62, 8 Mn 2.76-2.77

[2]
This record from the Alexandria database describes a relaxed CaNbAs2Se crystal. The functional is PBE.

- space group = No. 123
- energy relative to the elements, uncorrected (eV per atom) = 1.0717
- distance to the lowest polymorph of the same formula (eV per atom) = 1.538
- raw total energy (eV/atom) = -3.899

a = 5.1481 Å, b = 5.1481 Å, c = 5.1623 Å
α = 90.00°, β = 90.00°, γ = 90.00°
With the nearest neighbours (Å) after each atom.
Element x y z (fractional)
Nb: 0.5000 0.5000 0.5000  4 Se 3.64, 8 As 3.65
Ca: 0.0000 0.0000 0.0000  4 As 2.57, 2 Se 2.58
As: 0.0000 0.5000 0.0000  2 Ca 2.57
As: 0.5000 0.0000 0.0000  2 Ca 2.57
Se: 0.0000 0.0000 0.5000  2 Ca 2.58

[3]
This record from the Alexandria database describes a relaxed Pr2OF crystal. The functional is PBE.

- space group = No. 166
- energy relative to the elements, uncorrected (eV per atom) = -2.4422
- raw total energy (eV/atom) = -6.539

a = 3.6658 Å, b = 3.6658 Å, c = 6.4385 Å
α = 73.46°, β = 73.46°, γ = 60.00°
With the nearest neighbours (Å) after each atom.
Element x y z (fractional)
Pr: 0.7418 0.7418 0.7746  3 O 2.52, 3 F 2.70
Pr: 0.2582 0.2582 0.2254  3 O 2.52, 3 F 2.70
O: 0.0000 0.0000 0.0000  6 Pr 2.52
F: 0.5000 0.5000 0.5000  6 Pr 2.70

[4]
This record from the Alexandria database describes a relaxed LaTe2As crystal. The functional is PBE.

- space group = No. 6
- energy relative to the elements, uncorrected (eV per atom) = -0.7808
- raw total energy (eV/atom) = -4.746

a = 4.0132 Å, b = 4.3377 Å, c = 7.3201 Å
α = 71.42°, β = 90.00°, γ = 90.00°
With the nearest neighbours (Å) after each atom.
Element x y z (fractional)
As: 0.0000 0.3350 0.5377  3 Te 2.83-2.96
Te: 0.0000 0.1356 0.9640  1 As 2.96, 2 Te 3.25
Te: 0.5000 0.2777 0.2776  2 As 2.83
La: 0.5000 0.7518 0.7206  4 As 3.17-3.26, 5 Te 3.32-3.44

[5]
This record from the Alexandria database describes a relaxed NaLiIn2Rh crystal. The functional is PBE.

- space group = No. 123
- raw total energy (eV/atom) = -3.381
- formation energy (eV per atom) = -0.169

a = 5.1409 Å, b = 5.1409 Å, c = 4.8678 Å
α = 90.00°, β = 90.00°, γ = 90.00°
With the nearest neighbours (Å) after each atom.
Element x y z (fractional)
Na: 0.5000 0.5000 0.5000  8 In 3.54, 4 Li 3.64
Li: 0.0000 0.0000 0.5000  2 Rh 2.43
Rh: 0.0000 0.0000 0.0000  2 Li 2.43, 4 In 2.57
In: 0.0000 0.5000 0.0000  2 Rh 2.57
In: 0.5000 0.0000 0.0000  2 Rh 2.57

[6]
This record from the Alexandria database describes a relaxed K2MgTaS4 crystal. The functional is PBE.

- space group = No. 82
- energy relative to the elements, uncorrected (eV per atom) = -1.1004
- raw total energy (eV/atom) = -5.119

a = 6.7823 Å, b = 6.7823 Å, c = 6.7823 Å
α = 96.40°, β = 116.37°, γ = 116.37°
With the nearest neighbours (Å) after each atom.
Element x y z (fractional)
K: 0.5000 0.7500 0.2500  4 S 3.14
K: 0.0000 0.0000 0.0000  4 S 3.32
Mg: 0.5000 0.2500 0.7500  4 S 2.47
Ta: 0.0000 0.5000 0.5000  4 S 2.34
S: 0.6082 0.3988 0.4722  1 Ta 2.34, 1 Mg 2.47
S: 0.0734 0.2094 0.6012  1 Ta 2.34, 1 Mg 2.47
S: 0.9266 0.5278 0.1360  1 Ta 2.34, 1 Mg 2.47
S: 0.3918 0.8640 0.7906  1 Ta 2.34, 1 Mg 2.47